! BaHg3As PBE-GGA optimized geometry; values from VASP
! - SG = Pm-3m, No. 221
! - energy relative to the elements (eV/atom) = 0.604
! - magnetic moment (μB per cell) = 1.223
&SYSTEM
  ibrav = 0, nat = 5, ntyp = 3
/
ATOMIC_SPECIES
Ba 137.33 Ba.upf
Hg 200.59 Hg.upf
As 74.92 As.upf
CELL_PARAMETERS angstrom
6.533 0.000 0.000
0.000 6.533 0.000
0.000 0.000 6.533
ATOMIC_POSITIONS crystal
Ba 0.000 0.000 0.000
Hg 0.000 0.000 0.500
Hg 0.000 0.500 0.000
Hg 0.500 0.000 0.000
As 0.500 0.500 0.500


! Ba12Hg3As5 PBE-GGA optimized geometry; values from VASP
! - SG = Ia-3d, No. 230
! - energy relative to the elements (eV/atom) = -0.611
! - magnetic moment (μB per cell) = 9.175
&SYSTEM
  ibrav = 0, nat = 80, ntyp = 3
/
ATOMIC_SPECIES
Ba 137.33 Ba.upf
Hg 200.59 Hg.upf
As 74.92 As.upf
CELL_PARAMETERS angstrom
-10.002 10.002 10.002
10.002 -10.002 10.002
10.002 10.002 -10.002
ATOMIC_POSITIONS crystal
Ba 0.036 0.211 0.122
Ba 0.036 0.325 0.913
Ba 0.087 0.622 0.412
Ba 0.087 0.964 0.675
Ba 0.088 0.711 0.675
Ba 0.088 0.878 0.413
Ba 0.122 0.036 0.211
Ba 0.122 0.587 0.912
Ba 0.175 0.211 0.588
Ba 0.175 0.464 0.587
Ba 0.211 0.122 0.036
Ba 0.211 0.588 0.175
Ba 0.289 0.325 0.912
Ba 0.289 0.464 0.378
Ba 0.325 0.912 0.289
Ba 0.325 0.913 0.036
Ba 0.378 0.289 0.464
Ba 0.378 0.588 0.913
Ba 0.412 0.087 0.622
Ba 0.412 0.825 0.789
Ba 0.413 0.088 0.878
Ba 0.413 0.825 0.536
Ba 0.464 0.378 0.289
Ba 0.464 0.587 0.175
Ba 0.536 0.413 0.825
Ba 0.536 0.622 0.711
Ba 0.587 0.175 0.464
Ba 0.587 0.912 0.122
Ba 0.588 0.175 0.211
Ba 0.588 0.913 0.378
Ba 0.622 0.412 0.087
Ba 0.622 0.711 0.536
Ba 0.675 0.087 0.964
Ba 0.675 0.088 0.711
Ba 0.711 0.536 0.622
Ba 0.711 0.675 0.088
Ba 0.789 0.412 0.825
Ba 0.789 0.878 0.964
Ba 0.825 0.536 0.413
Ba 0.825 0.789 0.412
Ba 0.878 0.413 0.088
Ba 0.878 0.964 0.789
Ba 0.912 0.122 0.587
Ba 0.912 0.289 0.325
Ba 0.913 0.036 0.325
Ba 0.913 0.378 0.588
Ba 0.964 0.675 0.087
Ba 0.964 0.789 0.878
Hg 0.125 0.250 0.375
Hg 0.125 0.375 0.750
Hg 0.250 0.375 0.125
Hg 0.250 0.875 0.625
Hg 0.375 0.125 0.250
Hg 0.375 0.750 0.125
Hg 0.625 0.250 0.875
Hg 0.625 0.875 0.750
Hg 0.750 0.125 0.375
Hg 0.750 0.625 0.875
Hg 0.875 0.625 0.250
Hg 0.875 0.750 0.625
As 0.000 0.000 0.000
As 0.000 0.000 0.500
As 0.000 0.500 0.000
As 0.000 0.500 0.500
As 0.125 0.750 0.875
As 0.125 0.875 0.250
As 0.250 0.125 0.875
As 0.250 0.625 0.375
As 0.375 0.250 0.625
As 0.375 0.625 0.750
As 0.500 0.000 0.000
As 0.500 0.000 0.500
As 0.500 0.500 0.000
As 0.500 0.500 0.500
As 0.625 0.375 0.250
As 0.625 0.750 0.375
As 0.750 0.375 0.625
As 0.750 0.875 0.125
As 0.875 0.125 0.750
As 0.875 0.250 0.125


! BaHg3As PBE-GGA optimized geometry; values from VASP
! - SG = Pm-3m, No. 221
! - energy relative to the elements (eV/atom) = -0.109
! - magnetic moment (μB per cell) = 0.000
&SYSTEM
  ibrav = 0, nat = 5, ntyp = 3
/
ATOMIC_SPECIES
Ba 137.33 Ba.upf
Hg 200.59 Hg.upf
As 74.92 As.upf
CELL_PARAMETERS angstrom
5.458 0.000 0.000
0.000 5.458 0.000
0.000 0.000 5.458
ATOMIC_POSITIONS crystal
Ba 0.000 0.000 0.000
Hg 0.000 0.500 0.500
Hg 0.500 0.000 0.500
Hg 0.500 0.500 0.000
As 0.500 0.500 0.500


! Ba3Hg4As2 PBE-GGA optimized geometry; values from VASP
! - SG = C2/m, No. 12
! - energy relative to the elements (eV/atom) = -0.679
! - magnetic moment (μB per cell) = 0.000
&SYSTEM
  ibrav = 0, nat = 9, ntyp = 3
/
ATOMIC_SPECIES
Ba 137.33 Ba.upf
Hg 200.59 Hg.upf
As 74.92 As.upf
CELL_PARAMETERS angstrom
6.515 -2.350 0.000
6.515 2.350 0.000
-3.563 0.000 9.445
ATOMIC_POSITIONS crystal
Ba 0.000 0.000 0.000
Ba 0.320 0.320 0.372
Ba 0.680 0.680 0.628
Hg 0.009 0.009 0.345
Hg 0.236 0.236 0.904
Hg 0.764 0.764 0.096
Hg 0.991 0.991 0.655
As 0.379 0.379 0.732
As 0.621 0.621 0.268


! Ba4HgAs PBE-GGA optimized geometry; values from VASP
! - SG = F-43m, No. 216
! - energy relative to the elements (eV/atom) = 0.248
! - magnetic moment (μB per cell) = 0.918
&SYSTEM
  ibrav = 0, nat = 6, ntyp = 3
/
ATOMIC_SPECIES
Ba 137.33 Ba.upf
Hg 200.59 Hg.upf
As 74.92 As.upf
CELL_PARAMETERS angstrom
0.000 5.049 5.049
5.049 0.000 5.049
5.049 5.049 0.000
ATOMIC_POSITIONS crystal
Ba 0.376 0.376 0.376
Ba 0.376 0.376 0.871
Ba 0.376 0.871 0.376
Ba 0.871 0.376 0.376
Hg 0.000 0.000 0.000
As 0.750 0.750 0.750


! BaHgAs PBE-GGA optimized geometry; values from VASP
! - SG = F-43m, No. 216
! - energy relative to the elements (eV/atom) = -0.299
! - magnetic moment (μB per cell) = 0.004
&SYSTEM
  ibrav = 0, nat = 12, ntyp = 3
/
ATOMIC_SPECIES
Ba 137.33 Ba.upf
Hg 200.59 Hg.upf
As 74.92 As.upf
CELL_PARAMETERS angstrom
7.686 0.000 0.000
0.000 7.686 0.000
0.000 0.000 7.686
ATOMIC_POSITIONS crystal
Ba 0.000 0.000 0.000
Ba 0.000 0.500 0.500
Ba 0.500 0.000 0.500
Ba 0.500 0.500 0.000
Hg 0.250 0.250 0.750
Hg 0.250 0.750 0.250
Hg 0.750 0.250 0.250
Hg 0.750 0.750 0.750
As 0.250 0.250 0.250
As 0.250 0.750 0.750
As 0.750 0.250 0.750
As 0.750 0.750 0.250